[1]
A plane-wave DFT calculation with PBE-GGA was carried out for an optimized crystal structure of Rb3BiAu3.

Geometry as CIF:
```
data_Rb3BiAu3
_chemical_formula_sum 'Rb12 Bi4 Au12'
_space_group_name_H-M_alt 'C m c m'
_space_group_IT_number 63
_space_group_name_Hall '-C 2c 2'
_cell_length_a 5.090
_cell_length_b 12.563
_cell_length_c 15.540
_cell_angle_alpha 90.00
_cell_angle_beta 90.00
_cell_angle_gamma 90.00
loop_
_atom_site_label
_atom_site_fract_x
_atom_site_fract_y
_atom_site_fract_z
Rb1 0.000 0.024 0.250
Rb2 0.000 0.274 0.603
Bi1 0.000 0.000 0.000
Au1 0.000 0.343 0.250
Au2 0.000 0.436 0.086
```

Values from the calculation:
ΔE to the lowest computed polymorph in eV per atom: 0.000

[2]
A plane-wave DFT calculation with PBE-GGA was carried out for an optimized crystal structure of Rb3Bi2Au2.

Geometry as CIF:
```
data_Rb3Bi2Au2
_chemical_formula_sum 'Rb6 Bi4 Au4'
_space_group_name_H-M_alt 'C 1 2/m 1'
_space_group_IT_number 12
_space_group_name_Hall '-C 2y'
_cell_length_a 13.404
_cell_length_b 4.946
_cell_length_c 9.270
_cell_angle_alpha 90.00
_cell_angle_beta 113.91
_cell_angle_gamma 90.00
loop_
_atom_site_label
_atom_site_fract_x
_atom_site_fract_y
_atom_site_fract_z
Rb1 0.000 0.000 0.000
Rb2 0.204 0.000 0.657
Bi1 0.007 0.500 0.345
Au1 0.198 0.500 0.931
```

[3]
A plane-wave DFT calculation with PBE-GGA was carried out for an optimized crystal structure of RbBi3Au2.

Geometry as CIF:
```
data_RbBi3Au2
_chemical_formula_sum 'Rb4 Bi12 Au8'
_space_group_name_H-M_alt 'C 1 2/m 1'
_space_group_IT_number 12
_space_group_name_Hall '-C 2y'
_cell_length_a 17.914
_cell_length_b 4.764
_cell_length_c 9.487
_cell_angle_alpha 90.00
_cell_angle_beta 106.66
_cell_angle_gamma 90.00
loop_
_atom_site_label
_atom_site_fract_x
_atom_site_fract_y
_atom_site_fract_z
Rb1 0.143 0.000 0.072
Bi1 0.007 0.000 0.337
Bi2 0.141 0.500 0.755
Bi3 0.163 0.500 0.412
Au1 0.008 0.500 0.148
Au2 0.170 0.000 0.600
```

[4]
A plane-wave DFT calculation with PBE-GGA was carried out for an optimized crystal structure of Rb3BiAu3.

Geometry as CIF:
```
data_Rb3BiAu3
_chemical_formula_sum 'Rb6 Bi2 Au6'
_space_group_name_H-M_alt 'P 63/m'
_space_group_IT_number 176
_space_group_name_Hall '-P 6c'
_cell_length_a 10.3461
_cell_length_b 10.3461
_cell_length_c 7.0072
_cell_angle_alpha 90.00
_cell_angle_beta 90.00
_cell_angle_gamma 120.00
loop_
_atom_site_label
_atom_site_fract_x
_atom_site_fract_y
_atom_site_fract_z
Rb1 0.0819 0.7014 0.2500
Bi1 0.3333 0.6667 0.7500
Au1 0.0808 0.7006 0.7500
```

Values from the calculation:
ΔE to the lowest computed polymorph in eV per atom: 0.176

[5]
A plane-wave DFT calculation with PBE-GGA was carried out for an optimized crystal structure of RbBi3Au.

Geometry as CIF:
```
data_RbBi3Au
_chemical_formula_sum 'Rb4 Bi12 Au4'
_space_group_name_H-M_alt 'C m m m'
_space_group_IT_number 65
_space_group_name_Hall '-C 2 2'
_cell_length_a 5.278
_cell_length_b 27.017
_cell_length_c 4.985
_cell_angle_alpha 90.00
_cell_angle_beta 90.00
_cell_angle_gamma 90.00
loop_
_atom_site_label
_atom_site_fract_x
_atom_site_fract_y
_atom_site_fract_z
Rb1 0.000 0.168 0.000
Bi1 0.000 0.057 0.500
Bi2 0.000 0.280 0.500
Bi3 0.000 0.443 0.000
Au1 0.000 0.384 0.500
```

Values from the calculation:
ΔE to the lowest computed polymorph in eV per atom: 0.058

[6]
A plane-wave DFT calculation with PBE-GGA was carried out for an optimized crystal structure of Rb3Bi2Au.

Geometry as CIF:
```
data_Rb3Bi2Au
_chemical_formula_sum 'Rb12 Bi8 Au4'
_space_group_name_H-M_alt 'C 1 2/c 1'
_space_group_IT_number 15
_space_group_name_Hall '-C 2yc'
_cell_length_a 12.410
_cell_length_b 7.383
_cell_length_c 12.349
_cell_angle_alpha 90.00
_cell_angle_beta 115.48
_cell_angle_gamma 90.00
loop_
_atom_site_label
_atom_site_fract_x
_atom_site_fract_y
_atom_site_fract_z
Rb1 0.000 0.202 0.250
Rb2 0.198 0.089 0.076
Bi1 0.098 0.372 0.587
Au1 0.000 0.325 0.750
```

[7]
A plane-wave DFT calculation with PBE-GGA was carried out for an optimized crystal structure of Rb3Bi3Au2.

Geometry as CIF:
```
data_Rb3Bi3Au2
_chemical_formula_sum 'Rb12 Bi12 Au8'
_space_group_name_H-M_alt 'C m c m'
_space_group_IT_number 63
_space_group_name_Hall '-C 2c 2'
_cell_length_a 5.245
_cell_length_b 12.308
_cell_length_c 17.512
_cell_angle_alpha 90.00
_cell_angle_beta 90.00
_cell_angle_gamma 90.00
loop_
_atom_site_label
_atom_site_fract_x
_atom_site_fract_y
_atom_site_fract_z
Rb1 0.000 0.083 0.250
Rb2 0.000 0.404 0.121
Bi1 0.000 0.125 0.027
Bi2 0.000 0.222 0.750
Au1 0.000 0.308 0.598
```

[8]
A plane-wave DFT calculation with PBE-GGA was carried out for an optimized crystal structure of RbBiAu3.

Geometry as CIF:
```
data_RbBiAu3
_chemical_formula_sum 'Rb1 Bi1 Au3'
_space_group_name_H-M_alt 'P m -3 m'
_space_group_IT_number 221
_space_group_name_Hall '-P 4 2 3'
_cell_length_a 5.587
_cell_length_b 5.587
_cell_length_c 5.587
_cell_angle_alpha 90.00
_cell_angle_beta 90.00
_cell_angle_gamma 90.00
loop_
_atom_site_label
_atom_site_fract_x
_atom_site_fract_y
_atom_site_fract_z
Rb1 0.000 0.000 0.000
Bi1 0.500 0.500 0.500
Au1 0.000 0.500 0.500
```

Values from the calculation:
ΔE to the lowest computed polymorph in eV per atom: 0.081

[9]
A plane-wave DFT calculation with PBE-GGA was carried out for an optimized crystal structure of RbBi4Au9.

Geometry as CIF:
```
data_RbBi4Au9
_chemical_formula_sum 'Rb4 Bi16 Au36'
_space_group_name_H-M_alt 'I 4/m c m'
_space_group_IT_number 140
_space_group_name_Hall '-I 4 2c'
_cell_length_a 9.919
_cell_length_b 9.919
_cell_length_c 13.991
_cell_angle_alpha 90.00
_cell_angle_beta 90.00
_cell_angle_gamma 90.00
loop_
_atom_site_label
_atom_site_fract_x
_atom_site_fract_y
_atom_site_fract_z
Rb1 0.000 0.000 0.250
Bi1 0.196 0.304 0.125
Au1 0.000 0.500 0.000
Au2 0.035 0.201 0.500
Au3 0.107 0.393 0.323
```

[10]
A plane-wave DFT calculation with PBE-GGA was carried out for an optimized crystal structure of RbBi3Au.

Geometry as CIF:
```
data_RbBi3Au
_chemical_formula_sum 'Rb1 Bi3 Au1'
_space_group_name_H-M_alt 'P m -3 m'
_space_group_IT_number 221
_space_group_name_Hall '-P 4 2 3'
_cell_length_a 6.137
_cell_length_b 6.137
_cell_length_c 6.137
_cell_angle_alpha 90.00
_cell_angle_beta 90.00
_cell_angle_gamma 90.00
loop_
_atom_site_label
_atom_site_fract_x
_atom_site_fract_y
_atom_site_fract_z
Rb1 0.000 0.000 0.000
Bi1 0.000 0.000 0.500
Au1 0.500 0.500 0.500
```

Values from the calculation:
ΔE to the lowest computed polymorph in eV per atom: 1.678

[11]
A plane-wave DFT calculation with PBE-GGA was carried out for an optimized crystal structure of RbBi2Au.

Geometry as CIF:
```
data_RbBi2Au
_chemical_formula_sum 'Rb4 Bi8 Au4'
_space_group_name_H-M_alt 'I -4 2 d'
_space_group_IT_number 122
_space_group_name_Hall 'I -4 2bw'
_cell_length_a 5.493
_cell_length_b 5.493
_cell_length_c 20.606
_cell_angle_alpha 90.00
_cell_angle_beta 90.00
_cell_angle_gamma 90.00
loop_
_atom_site_label
_atom_site_fract_x
_atom_site_fract_y
_atom_site_fract_z
Rb1 0.000 0.000 0.000
Bi1 0.134 0.250 0.625
Au1 0.000 0.000 0.500
```

Values from the calculation:
ΔE to the lowest computed polymorph in eV per atom: 0.182

[12]
A plane-wave DFT calculation with PBE-GGA was carried out for an optimized crystal structure of Rb3Bi5Au2.

Geometry as CIF:
```
data_Rb3Bi5Au2
_chemical_formula_sum 'Rb12 Bi20 Au8'
_space_group_name_H-M_alt 'I b a m'
_space_group_IT_number 72
_space_group_name_Hall '-I 2 2c'
_cell_length_a 11.890
_cell_length_b 17.035
_cell_length_c 7.608
_cell_angle_alpha 90.00
_cell_angle_beta 90.00
_cell_angle_gamma 90.00
loop_
_atom_site_label
_atom_site_fract_x
_atom_site_fract_y
_atom_site_fract_z
Rb1 0.000 0.000 0.250
Rb2 0.224 0.355 0.000
Bi1 0.000 0.222 0.250
Bi2 0.000 0.500 0.250
Bi3 0.113 0.368 0.500
Au1 0.153 0.151 0.000
```

The records above yield energy of formation from the pure elements values of -2.10 -1.80 -0.70 -0.87 -0.54 -2.11 -2.07 -0.17 -1.09 7.56 -0.25 -2.12 eV/f.u., respectively.
The records above yield total DFT energy (no corrections) values of -2.67 -2.72 -3.31 -2.50 -3.28 -2.68 -2.90 -2.97 -3.36 -1.67 -3.06 -3.10 eV per atom, respectively.